LiTcBi | PBE-GGA | relaxed

Cell and atoms, written as POSCAR:
```
LiTcBi
1.0
-1.703 5.026 3.831
1.703 -5.026 3.831
1.703 5.026 -3.831
Li Tc Bi
2 2 2
Direct
0.124 0.250 0.374
0.876 0.750 0.626
0.240 0.568 0.173
0.395 0.068 0.827
0.504 0.915 0.088
0.827 0.415 0.912
```

As for the relative energy among the computed polymorphs: 0.1062 eV per atom. The value obtained for the formation energy is 148 meV per atom. The calculation puts the uncorrected energy at -31.43 eV/cell.

Ca3Mg2Zn | PBE-GGA | relaxed

Cell and atoms, written as POSCAR:
```
Ca3Mg2Zn
1.0
3.716 0.000 0.000
0.000 3.716 0.000
0.000 0.000 12.577
Ca Mg Zn
3 2 1
Direct
0.000 0.000 0.000
0.000 0.000 0.356
0.000 0.000 0.644
0.500 0.500 0.176
0.500 0.500 0.824
0.500 0.500 0.500
```

As for the relative energy among the computed polymorphs: 0.0000 eV per atom. The value obtained for the formation energy is -129 meV per atom. The calculation puts the uncorrected energy at -11.24 eV/cell.

K3NaGa | PBE-GGA | relaxed

Cell and atoms, written as POSCAR:
```
K3NaGa
1.0
6.650 0.000 0.000
0.000 6.650 0.000
0.000 0.000 6.650
K Na Ga
3 1 1
Direct
0.000 0.000 0.500
0.000 0.500 0.000
0.500 0.000 0.000
0.500 0.500 0.500
0.000 0.000 0.000
```

As for the relative energy among the computed polymorphs: 0.0000 eV per atom. The value obtained for the formation energy is 193 meV per atom. The calculation puts the uncorrected energy at -6.67 eV/cell.